Here is a geometry-optimized Sr3NiPd2O8 structure from Alexandria via LeMat-Bulk. Energies are from PBE+U.

Computed properties:
**Electronic total energy**: -5.35 eV per atom

Lattice parameters (Å, degrees): 5.5693 5.5693 7.5395 90.00 90.00 120.00
Space group P-3m1 (No. 164)
Inequivalent atoms, fractional coordinates:
Sr: 0.0000 0.0000 0.0000
Sr: 0.3333 0.6667 0.6199
Ni: 0.0000 0.0000 0.5000
Pd: 0.3333 0.6667 0.1856
O: 0.1617 0.3235 0.3335
O: 0.3333 0.6667 0.9354